! PBE-GGA Sr3Pu2PaN6, relaxed; values from VASP
! **Volume**: 200.8 Å³/f.u.
! **ΔE_f (raw)**: -1.1794 eV/atom
! **DFT total energy**: -8.942 eV/atom
! **Magnetization**: 9.01 μB/f.u.
&SYSTEM
  ibrav = 0, nat = 12, ntyp = 4
/
ATOMIC_SPECIES
Sr 87.62 Sr.upf
Pu 244.00 Pu.upf
Pa 231.04 Pa.upf
N 14.01 N.upf
CELL_PARAMETERS angstrom
3.1171 -5.4006 0.0000
3.1171 5.4006 0.0000
-2.0742 0.0000 5.9639
ATOMIC_POSITIONS angstrom
Sr 0.0000 0.0000 0.0000
Sr 3.1171 1.8211 0.0000
Sr 3.1171 -1.8211 0.0000
Pu 2.0800 3.6022 2.9819
Pu 2.0800 -3.6022 2.9819
Pa 2.0800 0.0000 2.9819
N 1.0600 1.7656 1.8035
N 0.0430 0.0000 4.1647
N 1.0600 -1.7656 1.8035
N 3.1001 1.7656 4.1604
N 4.1170 0.0000 1.7992
N 3.1001 -1.7656 4.1604

! PBE-GGA KInAs2Pb, relaxed; values from VASP
! **Volume**: 160.8 Å³/f.u.
! **DFT total energy**: -3.635 eV/atom
! **Energy of formation from the pure elements**: -266 meV/atom
! **Magnetization**: 0.00 μB/f.u.
&SYSTEM
  ibrav = 0, nat = 10, ntyp = 4
/
ATOMIC_SPECIES
K 39.10 K.upf
In 114.82 In.upf
As 74.92 As.upf
Pb 207.20 Pb.upf
CELL_PARAMETERS angstrom
8.9538 -2.2300 0.0000
8.9538 2.2300 0.0000
-4.6482 0.0000 8.0533
ATOMIC_POSITIONS angstrom
K 3.1100 0.0000 2.1928
K 10.1493 0.0000 5.8606
In -0.8139 0.0000 3.3430
In 14.0733 0.0000 4.7104
As -1.3472 0.0000 6.0370
As 3.8224 0.0000 5.6013
As 9.4369 0.0000 2.4521
As 14.6066 0.0000 2.0163
Pb 7.0563 0.0000 0.7637
Pb 6.2031 0.0000 7.2896

! PBE-GGA VCuNi2S, relaxed; values from VASP
! **Volume**: 71.8 Å³/f.u.
! **ΔE_f (raw)**: 0.1639 eV/atom
! **DFT total energy**: -5.617 eV/atom
! **Magnetization**: 1.53 μB/f.u.
! **E above lowest polymorph**: 0.0000 eV/atom
&SYSTEM
  ibrav = 0, nat = 5, ntyp = 4
/
ATOMIC_SPECIES
V 50.94 V.upf
Cu 63.55 Cu.upf
Ni 58.69 Ni.upf
S 32.06 S.upf
CELL_PARAMETERS angstrom
4.0870 0.0000 0.0000
0.0000 4.0870 0.0000
0.0000 0.0000 4.2983
ATOMIC_POSITIONS angstrom
V 0.0000 0.0000 0.0000
Cu 2.0435 2.0435 0.0000
Ni 0.0000 2.0435 2.1491
Ni 2.0435 0.0000 2.1491
S 0.0000 0.0000 2.1491

! PBE-GGA PIrCl, relaxed; values from VASP
! **Volume**: 67.5 Å³/f.u.
! **ΔE_f (raw)**: 0.1721 eV/atom
! **DFT total energy**: -5.200 eV/atom
! **Magnetization**: 0.00 μB/f.u.
! **E above lowest polymorph**: 0.4179 eV/atom
&SYSTEM
  ibrav = 0, nat = 12, ntyp = 3
/
ATOMIC_SPECIES
P 30.97 P.upf
Ir 192.22 Ir.upf
Cl 35.45 Cl.upf
CELL_PARAMETERS angstrom
3.5082 0.0000 0.0000
0.0000 6.3344 0.0000
0.0000 0.0000 12.1583
ATOMIC_POSITIONS angstrom
P 0.0000 0.0000 0.0000
P 0.0000 3.1672 6.0791
P 1.7541 0.0000 6.0791
P 1.7541 3.1672 0.0000
Ir 0.0000 0.0000 7.3627
Ir 0.0000 3.1672 1.2836
Ir 1.7541 0.0000 1.2836
Ir 1.7541 3.1672 7.3627
Cl 0.0000 0.0000 3.1090
Cl 0.0000 3.1672 9.1882
Cl 1.7541 0.0000 9.1882
Cl 1.7541 3.1672 3.1090

! PBE-GGA TbLuCdAu, relaxed; values from VASP
! **Volume**: 96.3 Å³/f.u.
! **DFT total energy**: -3.899 eV/atom
! **Energy of formation from the pure elements**: -563 meV/atom
! **Magnetization**: 0.00 μB/f.u.
&SYSTEM
  ibrav = 0, nat = 16, ntyp = 4
/
ATOMIC_SPECIES
Tb 158.93 Tb.upf
Lu 174.97 Lu.upf
Cd 112.41 Cd.upf
Au 196.97 Au.upf
CELL_PARAMETERS angstrom
7.2765 0.0000 0.0000
0.0000 7.2765 0.0000
0.0000 0.0000 7.2765
ATOMIC_POSITIONS angstrom
Tb 0.0000 0.0000 0.0000
Tb 0.0000 3.6383 3.6383
Tb 3.6383 0.0000 3.6383
Tb 3.6383 3.6383 0.0000
Lu 0.0000 0.0000 3.6383
Lu 0.0000 3.6383 0.0000
Lu 3.6383 0.0000 0.0000
Lu 3.6383 3.6383 3.6383
Cd 1.8191 1.8191 1.8191
Cd 1.8191 5.4574 5.4574
Cd 5.4574 1.8191 5.4574
Cd 5.4574 5.4574 1.8191
Au 1.8191 1.8191 5.4574
Au 1.8191 5.4574 1.8191
Au 5.4574 1.8191 1.8191
Au 5.4574 5.4574 5.4574

! PBE-GGA Ce5PaBi6, relaxed; values from VASP
! **Volume**: 407.7 Å³/f.u.
! **DFT total energy**: -5.870 eV/atom
! **Energy of formation from the pure elements**: -666 meV/atom
! **Magnetization**: 5.87 μB/f.u.
&SYSTEM
  ibrav = 0, nat = 12, ntyp = 3
/
ATOMIC_SPECIES
Ce 140.12 Ce.upf
Pa 231.04 Pa.upf
Bi 208.98 Bi.upf
CELL_PARAMETERS angstrom
3.9556 -6.8655 0.0000
3.9556 6.8655 0.0000
-2.6462 0.0000 7.5069
ATOMIC_POSITIONS angstrom
Ce 0.0000 0.0000 0.0000
Ce 2.6325 4.5903 3.7534
Ce 3.9556 2.3220 0.0000
Ce 3.9556 -2.3220 0.0000
Ce 2.6325 -4.5903 3.7534
Pa 2.6325 0.0000 3.7534
Bi 1.3422 2.2519 1.9059
Bi 0.0448 0.0000 5.6168
Bi 1.3422 -2.2519 1.9059
Bi 3.9227 2.2519 5.6010
Bi 5.2202 0.0000 1.8901
Bi 3.9227 -2.2519 5.6010

! PBE-GGA La3Pr4Al, relaxed; values from VASP
! **Volume**: 265.6 Å³/f.u.
! **DFT total energy**: -4.761 eV/atom
! **Energy of formation from the pure elements**: -56 meV/atom
! **Magnetization**: 0.00 μB/f.u.
! **E above lowest polymorph**: 0.0000 eV/atom
&SYSTEM
  ibrav = 0, nat = 16, ntyp = 3
/
ATOMIC_SPECIES
La 138.91 La.upf
Pr 140.91 Pr.upf
Al 26.98 Al.upf
CELL_PARAMETERS angstrom
5.0209 0.0000 0.0000
0.0000 10.3275 0.0000
0.0000 0.0000 10.2435
ATOMIC_POSITIONS angstrom
La 1.2552 0.0313 1.1498
La 1.2552 2.5819 9.0827
La 1.2552 5.1325 1.1498
La 3.7657 5.1951 9.0937
La 3.7657 7.7456 1.1608
La 3.7657 10.2962 9.0937
Pr 1.2552 2.5819 3.6829
Pr 1.2552 5.2773 6.4949
Pr 1.2552 7.7456 3.8284
Pr 1.2552 10.2140 6.4949
Pr 3.7657 0.1135 3.7486
Pr 3.7657 2.5819 6.4151
Pr 3.7657 5.0502 3.7486
Pr 3.7657 7.7456 6.5605
Al 1.2552 7.7456 8.9735
Al 3.7657 2.5819 1.2699

! PBE-GGA HoPuPd4, relaxed; values from VASP
! **Volume**: 114.1 Å³/f.u.
! **DFT total energy**: -7.273 eV/atom
! **Energy of formation from the pure elements**: -659 meV/atom
! **Magnetization**: 5.33 μB/f.u.
! **E above lowest polymorph**: 0.0000 eV/atom
&SYSTEM
  ibrav = 0, nat = 6, ntyp = 3
/
ATOMIC_SPECIES
Ho 164.93 Ho.upf
Pu 244.00 Pu.upf
Pd 106.42 Pd.upf
CELL_PARAMETERS angstrom
0.0000 3.8501 3.8501
3.8501 0.0000 3.8501
3.8501 3.8501 0.0000
ATOMIC_POSITIONS angstrom
Ho 0.0000 0.0000 0.0000
Pu 5.7751 5.7751 5.7751
Pd 2.8881 2.8881 2.8881
Pd 4.8120 4.8120 2.8881
Pd 4.8120 2.8881 4.8120
Pd 2.8881 4.8120 4.8120

! PBE-GGA Li3DyAu3, relaxed; values from VASP
! **Volume**: 149.6 Å³/f.u.
! **DFT total energy**: -2.982 eV/atom
! **Energy of formation from the pure elements**: -100 meV/atom
! **Magnetization**: 0.00 μB/f.u.
! **E above lowest polymorph**: 0.4058 eV/atom
&SYSTEM
  ibrav = 0, nat = 14, ntyp = 3
/
ATOMIC_SPECIES
Li 6.94 Li.upf
Dy 162.50 Dy.upf
Au 196.97 Au.upf
CELL_PARAMETERS angstrom
6.6890 0.0000 0.0000
0.0000 6.6890 0.0000
0.0000 0.0000 6.6890
ATOMIC_POSITIONS angstrom
Li 0.0000 1.6722 3.3445
Li 0.0000 5.0167 3.3445
Li 1.6722 3.3445 0.0000
Li 3.3445 0.0000 1.6722
Li 3.3445 0.0000 5.0167
Li 5.0167 3.3445 0.0000
Dy 0.0000 0.0000 0.0000
Dy 3.3445 3.3445 3.3445
Au 0.0000 3.3445 1.6722
Au 0.0000 3.3445 5.0167
Au 1.6722 0.0000 3.3445
Au 3.3445 1.6722 0.0000
Au 3.3445 5.0167 0.0000
Au 5.0167 0.0000 3.3445

! PBE-GGA KLaCe2Se4, relaxed; values from VASP
! **Volume**: 229.8 Å³/f.u.
! **ΔE_f (raw)**: -1.7571 eV/atom
! **DFT total energy**: -5.736 eV/atom
! **Magnetization**: 2.47 μB/f.u.
&SYSTEM
  ibrav = 0, nat = 8, ntyp = 4
/
ATOMIC_SPECIES
K 39.10 K.upf
La 138.91 La.upf
Ce 140.12 Ce.upf
Se 78.96 Se.upf
CELL_PARAMETERS angstrom
7.4872 0.0000 0.0000
0.0000 4.2775 0.0000
-2.4452 0.0000 7.1765
ATOMIC_POSITIONS angstrom
K 0.0000 0.0000 0.0000
La 3.7436 2.1388 0.0000
Ce -1.2226 2.1388 3.5883
Ce 2.5210 0.0000 3.5883
Se 0.0768 0.0000 5.3194
Se 1.3238 2.1388 1.9180
Se 3.7181 2.1388 5.2585
Se 4.9651 0.0000 1.8571

! PBE-GGA Pm3ScCd2, relaxed; values from VASP
! **Volume**: 171.9 Å³/f.u.
! **DFT total energy**: -3.911 eV/atom
! **Energy of formation from the pure elements**: -176 meV/atom
! **Magnetization**: 0.82 μB/f.u.
&SYSTEM
  ibrav = 0, nat = 6, ntyp = 3
/
ATOMIC_SPECIES
Pm 145.00 Pm.upf
Sc 44.96 Sc.upf
Cd 112.41 Cd.upf
CELL_PARAMETERS angstrom
3.7578 0.0000 0.0000
0.0000 3.7578 0.0000
0.0000 0.0000 12.1770
ATOMIC_POSITIONS angstrom
Pm 0.0000 0.0000 0.0000
Pm 0.0000 0.0000 3.9619
Pm 0.0000 0.0000 8.2152
Sc 1.8789 1.8789 6.0885
Cd 1.8789 1.8789 2.0133
Cd 1.8789 1.8789 10.1638

! PBE-GGA KMo2Os, relaxed; values from VASP
! **Volume**: 71.8 Å³/f.u.
! **DFT total energy**: -6.592 eV/atom
! **Energy of formation from the pure elements**: 1905 meV/atom
! **Magnetization**: 0.01 μB/f.u.
! **E above lowest polymorph**: 1.1310 eV/atom
&SYSTEM
  ibrav = 0, nat = 4, ntyp = 3
/
ATOMIC_SPECIES
K 39.10 K.upf
Mo 95.94 Mo.upf
Os 190.23 Os.upf
CELL_PARAMETERS angstrom
3.9903 0.0000 0.0000
0.0000 3.9903 0.0000
0.0000 0.0000 4.5118
ATOMIC_POSITIONS angstrom
K 0.0000 0.0000 0.0000
Mo 0.0000 1.9952 2.2559
Mo 1.9952 0.0000 2.2559
Os 1.9952 1.9952 0.0000